The following is a DFT calculation (PBE) of an optimized crystal structure of Cs2MnCdS4.

Output
Total DFT energy (no corrections) = -4.335 eV per atom
Crystal system = orthorhombic
Magnetic moment = 24.0 Bohr magnetons per cell
E_form (uncorrected) = -6.38 eV per formula unit

Geometry as CIF:
```
data_Cs2MnCdS4
_symmetry_space_group_name_H-M 'F d d d'
_symmetry_Int_Tables_number 70
_cell_length_a 5.8865
_cell_length_b 14.8264
_cell_length_c 24.3728
_cell_angle_alpha 90.00
_cell_angle_beta 90.00
_cell_angle_gamma 90.00
loop_
_symmetry_equiv_pos_as_xyz
'x,y,z'
'-x,-y,-z'
'-x+1/4,-y+1/4,z'
'x+1/4,y+1/4,-z'
'x,-y+1/4,-z+1/4'
'-x,y+1/4,z+1/4'
'-x+1/4,y,-z+1/4'
'x+1/4,-y,z+1/4'
'x,y+1/2,z+1/2'
'-x,-y+1/2,-z+1/2'
'-x+1/4,-y+3/4,z+1/2'
'x+1/4,y+3/4,-z+1/2'
'x,-y+3/4,-z+3/4'
'-x,y+3/4,z+3/4'
'-x+1/4,y+1/2,-z+3/4'
'x+1/4,-y+1/2,z+3/4'
'x+1/2,y,z+1/2'
'-x+1/2,-y,-z+1/2'
'-x+3/4,-y+1/4,z+1/2'
'x+3/4,y+1/4,-z+1/2'
'x+1/2,-y+1/4,-z+3/4'
'-x+1/2,y+1/4,z+3/4'
'-x+3/4,y,-z+3/4'
'x+3/4,-y,z+3/4'
'x+1/2,y+1/2,z'
'-x+1/2,-y+1/2,-z'
'-x+3/4,-y+3/4,z'
'x+3/4,y+3/4,-z'
'x+1/2,-y+3/4,-z+1/4'
'-x+1/2,y+3/4,z+1/4'
'-x+3/4,y+1/2,-z+1/4'
'x+3/4,-y+1/2,z+1/4'
loop_
_atom_site_label
_atom_site_fract_x
_atom_site_fract_y
_atom_site_fract_z
Cs1 0.1250 0.1250 0.3022
Mn1 0.1250 0.1250 0.6250
Cd1 0.1250 0.1250 0.1250
S1 0.0803 0.2779 0.8267
```